A plane-wave DFT calculation with PBE-GGA was carried out for a relaxed structure of Na3Bi2Pd5.

Lattice parameters (Å, degrees): 5.7859 8.5341 8.5343 103.63 87.85 87.85
Atoms (fractional coordinates):
1 Na 0.2500 0.0342 0.9659
2 Na 0.7500 0.9658 0.0341
3 Na 0.4106 0.3655 0.8534
4 Na 0.5894 0.6345 0.1466
5 Na 0.9106 0.8534 0.3655
6 Na 0.0894 0.1466 0.6345
7 Bi 0.1167 0.6842 0.9776
8 Bi 0.8833 0.3158 0.0224
9 Bi 0.6166 0.9776 0.6842
10 Bi 0.3834 0.0224 0.3158
11 Pd 0.2500 0.4664 0.5336
12 Pd 0.7500 0.5336 0.4664
13 Pd 0.4898 0.6845 0.7628
14 Pd 0.0101 0.2372 0.3155
15 Pd 0.5102 0.3155 0.2372
16 Pd 0.9899 0.7628 0.6845
17 Pd 0.1293 0.5302 0.2370
18 Pd 0.8707 0.4698 0.7630
19 Pd 0.6293 0.2371 0.5302
20 Pd 0.3707 0.7629 0.4698

Computed properties:
E_form = -0.1770 eV per atom
Total magnetic moment = 0.0 μB per formula unit
Space-group type = No. 15

A plane-wave DFT calculation with PBE-GGA was carried out for a relaxed structure of NaBi5Pd3.

Lattice parameters (Å, degrees): 7.3458 7.3458 10.1720 75.58 75.58 71.02
Atoms (fractional coordinates):
1 Na 0.1190 0.1190 0.7062
2 Na 0.8810 0.8810 0.2938
3 Bi 0.9176 0.3573 0.3245
4 Bi 0.3131 0.6869 0.0000
5 Bi 0.7702 0.7702 0.0101
6 Bi 0.3678 0.3678 0.4565
7 Bi 0.6322 0.6322 0.5435
8 Bi 0.2298 0.2298 0.9899
9 Bi 0.3573 0.9176 0.3245
10 Bi 0.6869 0.3131 0.0000
11 Bi 0.0824 0.6427 0.6755
12 Bi 0.6427 0.0824 0.6755
13 Pd 0.6766 0.6766 0.7959
14 Pd 0.5593 0.5593 0.2200
15 Pd 0.0000 0.0000 0.0000
16 Pd 0.0000 0.0000 0.5000
17 Pd 0.3234 0.3234 0.2041
18 Pd 0.4407 0.4407 0.7800

Computed properties:
E_form = -0.1685 eV per atom
Total magnetic moment = 0.0 μB per formula unit
Space-group type = No. 12